Entry 1:
VASP calculation (PBEsol) on a geometry-optimized InPBr2 structure.

Unit cell a=5.0957 b=5.0957 c=3.5681 alpha=90.00 beta=90.00 gamma=90.00
Closest atoms and distances in Å follow each position.
Space group P4/mmm (No. 123)
Inequivalent atoms, fractional coordinates:
In (0.0000, 0.0000, 0.0000) x1  8 Br 3.11
P (0.5000, 0.5000, 0.0000) x1  8 Br 3.11
Br (0.0000, 0.5000, 0.5000) x2  4 In 3.11, 4 P 3.11

Uncorrected formation energy (eV per atom): 0.3072
V (Å³ per atom): 23.2

***

Entry 2:
VASP calculation (PBEsol) on a geometry-optimized In2PBr structure.

Unit cell a=7.0302 b=4.0734 c=7.2481 alpha=90.00 beta=104.71 gamma=90.00
Closest atoms and distances in Å follow each position.
Space group C2/m (No. 12)
Inequivalent atoms, fractional coordinates:
In (0.2194, 0.0000, 0.1979) x4  3 P 2.72-2.73, 1 Br 2.98
P (0.0000, 0.5000, 0.0000) x2  6 In 2.72-2.73
Br (0.0000, 0.0000, 0.5000) x2  6 In 2.98-3.26

Uncorrected formation energy (eV per atom): -0.2330
V (Å³ per atom): 25.1